No. 1
A plane-wave DFT calculation with GGA-PBE was carried out for Sr2TlPb after structural relaxation.

Summary:
Its density of states at the Fermi level is 0.539 states/eV/atom. For the total magnetization, the calculation gives 0.00 μB/cell. For the calculated formation energy, the calculation gives -483 meV per atom.

Geometry as POSCAR:
```
Sr2TlPb
1.0
5.896 0.000 0.000
0.000 5.896 0.000
0.000 0.000 4.008
Sr Tl Pb
2 1 1
Direct
0.000 0.500 0.000
0.500 0.000 0.000
0.000 0.000 0.500
0.500 0.500 0.500
```

No. 2
A plane-wave DFT calculation with GGA-PBE was carried out for Li2CrCl after structural relaxation.

Summary:
The calculation puts the formation energy without anion corrections at -0.055 eV per atom. Its density of states at the Fermi level is 0.167 states/eV/atom. The energy relative to the lowest polymorph listed for this composition is 6.58 kcal/mol of atoms. For the total magnetization, the calculation gives 5.21 μB/cell.

Geometry as POSCAR:
```
Li2CrCl
1.0
-1.848 1.848 6.114
1.848 -1.848 6.114
1.848 1.848 -6.114
Li Cr Cl
2 1 1
Direct
0.000 0.000 0.000
0.750 0.250 0.500
0.500 0.500 0.000
0.250 0.750 0.500
```

No. 3
A plane-wave DFT calculation with GGA-PBE was carried out for BeAs2Ir after structural relaxation.

Summary:
Its density of states at the Fermi level is 0.537 states/eV/atom. For the total magnetization, the calculation gives 0.00 μB/cell. For the calculated formation energy, the calculation gives 258 meV per atom.

Geometry as POSCAR:
```
BeAs2Ir
1.0
-2.351 2.351 2.722
2.351 -2.351 2.722
2.351 2.351 -2.722
Be As Ir
1 2 1
Direct
0.000 0.000 0.000
0.250 0.750 0.500
0.750 0.250 0.500
0.500 0.500 0.000
```

No. 4
A plane-wave DFT calculation with GGA-PBE was carried out for Sm5Er4Sc2 after structural relaxation.

Summary:
Its density of states at the Fermi level is 1.657 states/eV/atom. For the total magnetization, the calculation gives 0.00 μB/cell. For the calculated formation energy, the calculation gives 161 meV per atom.

Geometry as POSCAR:
```
Sm5Er4Sc2
1.0
11.889 -1.764 0.000
11.889 1.764 0.000
-2.769 0.000 8.461
Sm Er Sc
5 4 2
Direct
0.000 0.000 0.000
0.327 0.327 0.578
0.373 0.373 0.037
0.627 0.627 0.963
0.673 0.673 0.422
0.231 0.231 0.813
0.486 0.486 0.668
0.514 0.514 0.332
0.769 0.769 0.187
0.097 0.097 0.627
0.903 0.903 0.373
```

No. 5
A plane-wave DFT calculation with GGA-PBE was carried out for KAl2Tc after structural relaxation.

Summary:
Its density of states at the Fermi level is 0.748 states/eV/atom. The energy relative to the lowest polymorph listed for this composition is 4.33 kcal/mol of atoms. For the total magnetization, the calculation gives 0.00 μB/cell. For the calculated formation energy, the calculation gives 270 meV per atom.

Geometry as POSCAR:
```
KAl2Tc
1.0
4.296 -1.392 0.000
4.296 1.392 0.000
-0.548 0.000 7.387
K Al Tc
1 2 1
Direct
0.000 0.000 0.000
0.233 0.233 0.659
0.767 0.767 0.341
0.500 0.500 0.500
```

No. 6
A plane-wave DFT calculation with GGA-PBE was carried out for Ho2NpTl2S6 after structural relaxation.

Summary:
The calculation puts the formation energy without anion corrections at -1.428 eV per atom. Its density of states at the Fermi level is 0.580 states/eV/atom. For the total magnetization, the calculation gives 3.00 μB/cell.

Geometry as POSCAR:
```
Ho2NpTl2S6
1.0
3.457 -5.989 0.000
3.457 5.989 0.000
-2.351 0.000 7.574
Ho Np Tl S
2 1 2 6
Direct
0.167 0.833 0.000
0.833 0.167 0.000
0.500 0.500 0.000
0.331 0.669 0.500
0.669 0.331 0.500
0.106 0.437 0.807
0.239 0.239 0.194
0.437 0.106 0.807
0.563 0.894 0.193
0.761 0.761 0.806
0.894 0.563 0.193
```

No. 7
A plane-wave DFT calculation with GGA-PBE was carried out for SrGa after structural relaxation.

Summary:
Its density of states at the Fermi level is 0.330 states/eV/atom. For the total magnetization, the calculation gives 0.00 μB/cell. For the calculated formation energy, the calculation gives -323 meV per atom.

Geometry as POSCAR:
```
SrGa
1.0
-2.176 6.294 3.449
2.176 -6.294 3.449
2.176 6.294 -3.449
Sr Ga
3 3
Direct
0.000 0.000 0.000
0.507 0.214 0.293
0.921 0.214 0.707
0.184 0.788 0.396
0.392 0.788 0.604
0.493 0.493 0.000
```

No. 8
A plane-wave DFT calculation with GGA-PBE was carried out for SrZn3P after structural relaxation.

Summary:
Its density of states at the Fermi level is 1.535 states/eV/atom. The energy relative to the lowest polymorph listed for this composition is 25.91 kcal/mol of atoms. For the total magnetization, the calculation gives 1.43 μB/cell. For the calculated formation energy, the calculation gives 1208 meV per atom.

Geometry as POSCAR:
```
SrZn3P
1.0
6.043 0.000 0.000
0.000 6.043 0.000
0.000 0.000 6.043
Sr Zn P
1 3 1
Direct
0.000 0.000 0.000
0.000 0.000 0.500
0.000 0.500 0.000
0.500 0.000 0.000
0.500 0.500 0.500
```

No. 9
A plane-wave DFT calculation with GGA-PBE was carried out for KRb2SrI5 after structural relaxation.

Summary:
The calculation puts the formation energy without anion corrections at -1.478 eV per atom. Its density of states at the Fermi level is 0.000 states/eV/atom. For the total magnetization, the calculation gives 0.17 μB/cell.

Geometry as POSCAR:
```
KRb2SrI5
1.0
6.288 0.000 0.000
0.000 6.288 0.000
0.000 0.000 13.139
K Rb Sr I
1 2 1 5
Direct
0.000 0.000 0.000
0.500 0.500 0.284
0.500 0.500 0.716
0.000 0.000 0.500
0.000 0.000 0.253
0.000 0.000 0.747
0.000 0.500 0.500
0.500 0.000 0.500
0.500 0.500 0.000
```

No. 10
A plane-wave DFT calculation with GGA-PBE was carried out for Ta2CdAs after structural relaxation.

Summary:
Its density of states at the Fermi level is 0.934 states/eV/atom. The energy relative to the lowest polymorph listed for this composition is 6.78 kcal/mol of atoms. For the total magnetization, the calculation gives 0.00 μB/cell. For the calculated formation energy, the calculation gives 326 meV per atom.

Geometry as POSCAR:
```
Ta2CdAs
1.0
-2.016 2.016 4.477
2.016 -2.016 4.477
2.016 2.016 -4.477
Ta Cd As
2 1 1
Direct
0.000 0.000 0.000
0.750 0.250 0.500
0.500 0.500 0.000
0.250 0.750 0.500
```

No. 11
A plane-wave DFT calculation with GGA-PBE was carried out for Tb4Sc3In4 after structural relaxation.

Summary:
Its density of states at the Fermi level is 0.929 states/eV/atom. For the total magnetization, the calculation gives 0.00 μB/cell. For the calculated formation energy, the calculation gives -272 meV per atom.

Geometry as POSCAR:
```
Tb4Sc3In4
1.0
-1.685 4.662 9.404
1.685 -4.662 9.404
1.685 4.662 -9.404
Tb Sc In
4 3 4
Direct
0.020 0.841 0.179
0.338 0.159 0.179
0.662 0.841 0.821
0.980 0.159 0.821
0.000 0.500 0.500
0.409 0.409 0.000
0.591 0.591 0.000
0.277 0.777 0.500
0.281 0.000 0.281
0.719 0.000 0.719
0.723 0.223 0.500
```

No. 12
A plane-wave DFT calculation with GGA-PBE was carried out for Er4RuPt after structural relaxation.

Summary:
Its density of states at the Fermi level is 0.840 states/eV/atom. The energy relative to the lowest polymorph listed for this composition is 0.00 kcal/mol of atoms. For the total magnetization, the calculation gives 0.00 μB/cell. For the calculated formation energy, the calculation gives -684 meV per atom.

Geometry as POSCAR:
```
Er4RuPt
1.0
4.453 -6.435 0.000
4.453 6.435 0.000
-3.498 0.000 5.214
Er Ru Pt
8 2 2
Direct
0.049 0.698 0.904
0.237 0.362 0.727
0.302 0.951 0.596
0.362 0.237 0.227
0.638 0.763 0.773
0.698 0.049 0.404
0.763 0.638 0.273
0.951 0.302 0.096
0.002 0.998 0.250
0.998 0.002 0.750
0.363 0.637 0.250
0.637 0.363 0.750
```

No. 13
A plane-wave DFT calculation with GGA-PBE was carried out for Be2CdW after structural relaxation.

Summary:
Its density of states at the Fermi level is 0.292 states/eV/atom. For the total magnetization, the calculation gives 0.00 μB/cell. For the calculated formation energy, the calculation gives 394 meV per atom.

Geometry as POSCAR:
```
Be2CdW
1.0
4.630 -1.349 0.000
4.630 1.349 0.000
-1.365 0.000 4.274
Be Cd W
2 1 1
Direct
0.000 0.000 0.000
0.705 0.705 0.322
0.460 0.460 0.483
0.245 0.245 0.862
```

No. 14
A plane-wave DFT calculation with GGA-PBE was carried out for LiPtI2 after structural relaxation.

Summary:
The calculation puts the formation energy without anion corrections at -0.293 eV per atom. Its density of states at the Fermi level is 1.536 states/eV/atom. The energy relative to the lowest polymorph listed for this composition is 0.00 kcal/mol of atoms. For the total magnetization, the calculation gives 0.00 μB/cell.

Geometry as POSCAR:
```
LiPtI2
1.0
-3.077 3.077 6.618
3.077 -3.077 6.618
3.077 3.077 -6.618
Li Pt I
2 2 4
Direct
0.000 0.000 0.000
0.750 0.250 0.500
0.250 0.750 0.500
0.500 0.500 0.000
0.139 0.625 0.014
0.375 0.389 0.514
0.611 0.125 0.986
0.875 0.861 0.486
```

No. 15
A plane-wave DFT calculation with GGA-PBE was carried out for Sr3PbN after structural relaxation.

Summary:
The calculation puts the formation energy without anion corrections at -0.274 eV per atom. Its density of states at the Fermi level is 0.520 states/eV/atom. For the total magnetization, the calculation gives 0.00 μB/cell.

Geometry as POSCAR:
```
Sr3PbN
1.0
3.779 -6.668 0.000
3.779 6.668 0.000
0.000 0.000 7.536
Sr Pb N
6 2 2
Direct
0.000 0.000 0.000
0.000 0.000 0.500
0.061 0.459 0.750
0.459 0.061 0.250
0.541 0.939 0.750
0.939 0.541 0.250
0.444 0.556 0.250
0.556 0.444 0.750
0.117 0.883 0.250
0.883 0.117 0.750
```

No. 16
A plane-wave DFT calculation with GGA-PBE was carried out for LiPrLuPb after structural relaxation.

Summary:
Its density of states at the Fermi level is 0.758 states/eV/atom. For the total magnetization, the calculation gives 0.00 μB/cell. For the calculated formation energy, the calculation gives -251 meV per atom.

Geometry as POSCAR:
```
LiPrLuPb
1.0
0.000 3.785 3.785
3.785 0.000 3.785
3.785 3.785 0.000
Li Pr Lu Pb
1 1 1 1
Direct
0.000 0.000 0.000
0.250 0.250 0.250
0.750 0.750 0.750
0.500 0.500 0.500
```

No. 17
A plane-wave DFT calculation with GGA-PBE was carried out for KCdNi after structural relaxation.

Summary:
Its density of states at the Fermi level is 2.353 states/eV/atom. The energy relative to the lowest polymorph listed for this composition is 17.36 kcal/mol of atoms. For the total magnetization, the calculation gives 0.90 μB/cell. For the calculated formation energy, the calculation gives 1034 meV per atom.

Geometry as POSCAR:
```
KCdNi
1.0
0.000 3.800 3.800
3.800 0.000 3.800
3.800 3.800 0.000
K Cd Ni
1 1 1
Direct
0.000 0.000 0.000
0.750 0.750 0.750
0.250 0.250 0.250
```

No. 18
A plane-wave DFT calculation with GGA-PBE was carried out for PuPaAs2 after structural relaxation.

Summary:
Its density of states at the Fermi level is 2.944 states/eV/atom. The energy relative to the lowest polymorph listed for this composition is 0.00 kcal/mol of atoms. For the total magnetization, the calculation gives 11.58 μB/cell. For the calculated formation energy, the calculation gives -1056 meV per atom.

Geometry as POSCAR:
```
PuPaAs2
1.0
-2.913 2.913 5.828
2.913 -2.913 5.828
2.913 2.913 -5.828
Pu Pa As
2 2 4
Direct
0.375 0.625 0.750
0.625 0.375 0.250
0.125 0.875 0.250
0.875 0.125 0.750
0.123 0.373 0.750
0.373 0.123 0.250
0.627 0.877 0.750
0.877 0.627 0.250
```

No. 19
A plane-wave DFT calculation with GGA-PBE was carried out for TaTl2Pb after structural relaxation.

Summary:
Its density of states at the Fermi level is 0.430 states/eV/atom. The energy relative to the lowest polymorph listed for this composition is 4.63 kcal/mol of atoms. For the total magnetization, the calculation gives 0.00 μB/cell. For the calculated formation energy, the calculation gives 592 meV per atom.

Geometry as POSCAR:
```
TaTl2Pb
1.0
3.199 0.000 0.000
0.000 4.909 0.000
0.000 0.000 6.310
Ta Tl Pb
1 2 1
Direct
0.000 0.000 0.000
0.000 0.000 0.496
0.500 0.500 0.245
0.500 0.500 0.773
```

No. 20
A plane-wave DFT calculation with GGA-PBE was carried out for PmBiSb after structural relaxation.

Summary:
The calculation puts the formation energy without anion corrections at -0.634 eV per atom. Its density of states at the Fermi level is 0.576 states/eV/atom. The energy relative to the lowest polymorph listed for this composition is 0.00 kcal/mol of atoms. For the total magnetization, the calculation gives 0.00 μB/cell.

Geometry as POSCAR:
```
PmBiSb
1.0
4.349 0.000 0.000
0.000 4.349 0.000
0.000 0.000 9.648
Pm Bi Sb
2 2 2
Direct
0.250 0.250 0.242
0.750 0.750 0.758
0.250 0.250 0.890
0.750 0.750 0.110
0.250 0.750 0.500
0.750 0.250 0.500
```

Number 1: V 139.3 Å³/f.u.. Number 2: V 83.5 Å³/f.u.. Number 3: V 60.2 Å³/f.u.. Number 4: V 354.8 Å³/f.u.. Number 5: V 88.4 Å³/f.u.. Number 6: V 313.7 Å³/f.u.. Number 7: V 63.0 Å³/f.u.. Number 8: V 220.6 Å³/f.u.. Number 9: V 519.6 Å³/f.u.. Number 10: V 72.8 Å³/f.u.. Number 11: V 295.4 Å³/f.u.. Number 12: V 149.4 Å³/f.u.. Number 13: V 53.4 Å³/f.u.. Number 14: V 125.3 Å³/f.u.. Number 15: V 189.9 Å³/f.u.. Number 16: V 108.4 Å³/f.u.. Number 17: V 109.7 Å³/f.u.. Number 18: V 98.9 Å³/f.u.. Number 19: V 99.1 Å³/f.u.. Number 20: V 91.3 Å³/f.u..